Nd3Zn4Ru2 (PBE-GGA, optimized geometry); ΔE_f = -241.8 meV/atom; SG = No. 12
1.0
4.660 0.000 0.000
-2.330 5.035 -0.162
0.000 -2.328 8.213
Nd Zn Ru
3 4 2
Direct
0.360 0.720 0.313
0.000 0.000 0.000
0.640 0.280 0.687
0.715 0.430 0.073
0.912 0.823 0.594
0.285 0.570 0.927
0.088 0.177 0.406
0.670 0.339 0.349
0.330 0.661 0.651